(1)
A geometry-optimized Tm5Te structure. Source: the Alexandria database, functional PBE-GGA.

Results
ΔE_f (raw), eV/f.u.: -1.48
Magnetization, μB per formula unit: 0.0
Space group: Cmmm

```
data_Tm5Te
_symmetry_space_group_name_H-M 'P 1'
_symmetry_Int_Tables_number 1
_cell_length_a 4.865
_cell_length_b 4.656
_cell_length_c 7.828
_cell_angle_alpha 107.30
_cell_angle_beta 90.00
_cell_angle_gamma 90.00
loop_
_symmetry_equiv_pos_as_xyz
'x,y,z'
loop_
_atom_site_label
_atom_site_fract_x
_atom_site_fract_y
_atom_site_fract_z
Tm1 0.500 0.829 0.658
Tm2 0.000 0.665 0.329
Tm3 0.500 0.500 0.000
Tm4 0.000 0.335 0.671
Tm5 0.500 0.171 0.342
Te1 0.000 0.000 0.000
```

***

(2)
A geometry-optimized CaBePH structure. Source: the Alexandria database, functional PBE-GGA.

Results
Final energy, eV per atom: -4.399
Magnetization, μB per formula unit: 0.0
Space group: P3m1

```
data_CaBePH
_symmetry_space_group_name_H-M 'P 1'
_symmetry_Int_Tables_number 1
_cell_length_a 3.770
_cell_length_b 3.770
_cell_length_c 4.404
_cell_angle_alpha 90.00
_cell_angle_beta 90.00
_cell_angle_gamma 120.00
loop_
_symmetry_equiv_pos_as_xyz
'x,y,z'
loop_
_atom_site_label
_atom_site_fract_x
_atom_site_fract_y
_atom_site_fract_z
Ca1 0.572 0.144 0.331
Be1 0.239 0.477 0.890
P1 0.905 0.811 0.791
H1 0.239 0.477 0.226
```

***

(3)
A geometry-optimized Dy5ScPb5 structure. Source: the Alexandria database, functional PBE-GGA.

Results
Formation enthalpy at 0 K, eV per atom: -0.245
Magnetization, μB per formula unit: 0.0
Space group: C2/m

```
data_Dy5ScPb5
_symmetry_space_group_name_H-M 'P 1'
_symmetry_Int_Tables_number 1
_cell_length_a 6.200
_cell_length_b 8.452
_cell_length_c 7.277
_cell_angle_alpha 103.42
_cell_angle_beta 90.00
_cell_angle_gamma 111.52
loop_
_symmetry_equiv_pos_as_xyz
'x,y,z'
loop_
_atom_site_label
_atom_site_fract_x
_atom_site_fract_y
_atom_site_fract_z
Dy1 0.670 0.340 0.320
Dy2 0.657 0.313 0.807
Dy3 0.000 0.000 0.500
Dy4 0.343 0.687 0.193
Dy5 0.330 0.660 0.680
Sc1 0.000 0.000 0.000
Pb1 0.835 0.670 0.141
Pb2 0.837 0.673 0.665
Pb3 0.500 0.000 0.000
Pb4 0.163 0.327 0.335
Pb5 0.165 0.330 0.859
```

***

(4)
A geometry-optimized Li3TbNd2Te6 structure. Source: the Alexandria database, functional PBE-GGA.

Results
ΔE_f (raw), eV/f.u.: -15.55
Magnetization, μB per formula unit: 0.0
Space group: C2/m

```
data_Li3TbNd2Te6
_symmetry_space_group_name_H-M 'P 1'
_symmetry_Int_Tables_number 1
_cell_length_a 7.670
_cell_length_b 7.670
_cell_length_c 7.536
_cell_angle_alpha 99.78
_cell_angle_beta 99.78
_cell_angle_gamma 120.00
loop_
_symmetry_equiv_pos_as_xyz
'x,y,z'
loop_
_atom_site_label
_atom_site_fract_x
_atom_site_fract_y
_atom_site_fract_z
Li1 0.168 0.832 0.500
Li2 0.832 0.168 0.500
Li3 0.500 0.500 0.500
Tb1 0.000 0.000 0.000
Nd1 0.333 0.667 0.000
Nd2 0.667 0.333 0.000
Te1 0.913 0.586 0.740
Te2 0.760 0.760 0.259
Te3 0.087 0.414 0.260
Te4 0.586 0.913 0.740
Te5 0.240 0.240 0.741
Te6 0.414 0.087 0.260
```

***

(5)
A geometry-optimized Tb2PaS structure. Source: the Alexandria database, functional PBE-GGA.

Results
ΔE_f (raw), eV/f.u.: -1.99
Magnetization, μB per formula unit: 0.0
Space group: R-3m

```
data_Tb2PaS
_symmetry_space_group_name_H-M 'P 1'
_symmetry_Int_Tables_number 1
_cell_length_a 3.485
_cell_length_b 3.485
_cell_length_c 10.294
_cell_angle_alpha 80.25
_cell_angle_beta 80.25
_cell_angle_gamma 60.00
loop_
_symmetry_equiv_pos_as_xyz
'x,y,z'
loop_
_atom_site_label
_atom_site_fract_x
_atom_site_fract_y
_atom_site_fract_z
S1 0.500 0.500 0.500
Pa1 0.000 0.000 0.000
Tb1 0.108 0.108 0.676
Tb2 0.892 0.892 0.324
```

***

(6)
A geometry-optimized Rb2ErScTe4 structure. Source: the Alexandria database, functional PBE-GGA.

Results
ΔE_f (raw), eV/f.u.: -10.39
Magnetization, μB per formula unit: 0.0
Space group: P2/m

```
data_Rb2ErScTe4
_symmetry_space_group_name_H-M 'P 1'
_symmetry_Int_Tables_number 1
_cell_length_a 4.423
_cell_length_b 7.659
_cell_length_c 8.889
_cell_angle_alpha 106.67
_cell_angle_beta 90.00
_cell_angle_gamma 90.00
loop_
_symmetry_equiv_pos_as_xyz
'x,y,z'
loop_
_atom_site_label
_atom_site_fract_x
_atom_site_fract_y
_atom_site_fract_z
Rb1 0.500 0.000 0.500
Rb2 0.000 0.500 0.500
Er1 0.500 0.500 0.000
Sc1 0.000 0.000 0.000
Te1 0.500 0.222 0.191
Te2 0.500 0.778 0.809
Te3 0.000 0.260 0.804
Te4 0.000 0.740 0.196
```

***

(7)
A geometry-optimized ZnPbNF2 structure. Source: the Alexandria database, functional PBE-GGA.

Results
ΔE_f (raw), eV/f.u.: -1.46
Magnetization, μB per formula unit: 0.0
Space group: P4/mmm
Distance to the lowest polymorph of the same formula, meV per atom: 563.1

```
data_ZnPbNF2
_symmetry_space_group_name_H-M 'P 1'
_symmetry_Int_Tables_number 1
_cell_length_a 4.479
_cell_length_b 4.479
_cell_length_c 4.452
_cell_angle_alpha 90.00
_cell_angle_beta 90.00
_cell_angle_gamma 90.00
loop_
_symmetry_equiv_pos_as_xyz
'x,y,z'
loop_
_atom_site_label
_atom_site_fract_x
_atom_site_fract_y
_atom_site_fract_z
Pb1 0.000 0.000 0.000
Zn1 0.500 0.500 0.500
N1 0.000 0.000 0.500
F1 0.000 0.500 0.000
F2 0.500 0.000 0.000
```

***

(8)
A geometry-optimized YPaSb2 structure. Source: the Alexandria database, functional PBE-GGA.

Results
ΔE_f (raw), eV/f.u.: -3.15
Magnetization, μB per formula unit: 1.0
Space group: C2/c

```
data_YPaSb2
_symmetry_space_group_name_H-M 'P 1'
_symmetry_Int_Tables_number 1
_cell_length_a 7.602
_cell_length_b 7.576
_cell_length_c 9.791
_cell_angle_alpha 104.93
_cell_angle_beta 105.03
_cell_angle_gamma 109.46
loop_
_symmetry_equiv_pos_as_xyz
'x,y,z'
loop_
_atom_site_label
_atom_site_fract_x
_atom_site_fract_y
_atom_site_fract_z
Y1 0.187 0.937 0.875
Y2 0.938 0.688 0.375
Y3 0.062 0.312 0.625
Y4 0.813 0.063 0.125
Pa1 0.563 0.813 0.625
Pa2 0.688 0.438 0.875
Pa3 0.312 0.562 0.125
Pa4 0.437 0.187 0.375
Sb1 0.187 0.437 0.375
Sb2 0.563 0.313 0.125
Sb3 0.062 0.812 0.125
Sb4 0.312 0.062 0.625
Sb5 0.688 0.938 0.375
Sb6 0.938 0.188 0.875
Sb7 0.437 0.687 0.875
Sb8 0.813 0.563 0.625
```

***

(9)
A geometry-optimized Nd4CuTe5Cl3O15 structure. Source: the Alexandria database, functional PBE-GGA.

Results
ΔE_f (raw), eV/f.u.: -54.35
Magnetization, μB per formula unit: 0.1
Space group: C2

```
data_Nd4CuTe5Cl3O15
_symmetry_space_group_name_H-M 'P 1'
_symmetry_Int_Tables_number 1
_cell_length_a 12.037
_cell_length_b 12.037
_cell_length_c 17.908
_cell_angle_alpha 56.00
_cell_angle_beta 56.00
_cell_angle_gamma 27.53
loop_
_symmetry_equiv_pos_as_xyz
'x,y,z'
loop_
_atom_site_label
_atom_site_fract_x
_atom_site_fract_y
_atom_site_fract_z
Nd1 0.776 0.224 0.500
Nd2 0.408 0.772 0.572
Nd3 0.621 0.962 0.630
Nd4 0.410 0.756 0.801
Nd5 0.816 0.184 0.000
Nd6 0.038 0.379 0.370
Nd7 0.228 0.592 0.428
Nd8 0.244 0.590 0.199
Cu1 0.747 0.663 0.087
Cu2 0.337 0.253 0.913
Te1 0.426 0.793 0.351
Te2 0.930 0.481 0.587
Te3 0.864 0.139 0.269
Te4 0.519 0.070 0.413
Te5 0.163 0.651 0.975
Te6 0.207 0.574 0.649
Te7 0.673 0.943 0.184
Te8 0.349 0.837 0.025
Te9 0.861 0.136 0.731
Te10 0.057 0.327 0.816
Cl1 0.549 0.071 0.779
Cl2 0.027 0.362 0.004
Cl3 0.638 0.973 0.996
Cl4 0.442 0.757 0.176
Cl5 0.243 0.558 0.824
Cl6 0.929 0.451 0.221
O1 0.159 0.030 0.433
O2 0.800 0.573 0.502
O3 0.422 0.344 0.574
O4 0.531 0.522 0.066
O5 0.448 0.584 0.405
O6 0.427 0.200 0.498
O7 0.542 0.339 0.304
O8 0.914 0.057 0.384
O9 0.023 0.937 0.894
O10 0.916 0.686 0.519
O11 0.160 0.977 0.701
O12 0.943 0.086 0.616
O13 0.253 0.384 0.349
O14 0.661 0.458 0.696
O15 0.793 0.430 0.850
O16 0.970 0.841 0.567
O17 0.954 0.570 0.710
O18 0.907 0.714 0.259
O19 0.063 0.977 0.106
O20 0.570 0.207 0.150
O21 0.616 0.747 0.651
O22 0.656 0.578 0.426
O23 0.023 0.840 0.299
O24 0.478 0.469 0.934
O25 0.314 0.084 0.481
O26 0.286 0.093 0.741
O27 0.226 0.950 0.926
O28 0.050 0.774 0.074
O29 0.430 0.046 0.290
O30 0.416 0.552 0.595
```

***

(10)
A geometry-optimized Ac2HoAg5 structure. Source: the Alexandria database, functional PBE-GGA.

Results
Formation enthalpy at 0 K, eV per atom: -0.177
Magnetization, μB per formula unit: 0.0
Space group: I4/mmm

```
data_Ac2HoAg5
_symmetry_space_group_name_H-M 'P 1'
_symmetry_Int_Tables_number 1
_cell_length_a 5.323
_cell_length_b 5.323
_cell_length_c 8.250
_cell_angle_alpha 108.82
_cell_angle_beta 108.82
_cell_angle_gamma 90.00
loop_
_symmetry_equiv_pos_as_xyz
'x,y,z'
loop_
_atom_site_label
_atom_site_fract_x
_atom_site_fract_y
_atom_site_fract_z
Ac1 0.727 0.727 0.453
Ac2 0.273 0.273 0.547
Ho1 0.000 0.000 0.000
Ag1 0.500 0.500 0.000
Ag2 0.898 0.398 0.795
Ag3 0.398 0.898 0.795
Ag4 0.102 0.602 0.205
Ag5 0.602 0.102 0.205
```